# Y3Ho2ScTe6

An optimized crystal structure of Y3Ho2ScTe6 (PBE-GGA, Alexandria).

Lattice parameters (Å, degrees): 4.3118 8.6775 9.6669 102.92 102.89 90.00
Closest atoms and distances in Å follow each position.
Element x y z (fractional)
1 Te 0.3394 0.9180 0.6788  1 Sc 2.95, 2 Ho 3.05, 3 Y 3.07-3.08
2 Te 0.3332 0.4180 0.6665  3 Ho 3.05, 3 Y 3.06-3.07
3 Te 0.6606 0.0820 0.3212  1 Sc 2.95, 2 Ho 3.05, 3 Y 3.07-3.08
4 Te 0.6668 0.5820 0.3335  3 Ho 3.05, 3 Y 3.06-3.07
5 Te 0.0012 0.7605 0.0025  2 Sc 3.00, 1 Ho 3.09, 3 Y 3.12
6 Te 0.9988 0.2395 0.9975  2 Sc 3.00, 1 Ho 3.09, 3 Y 3.12
7 Ho 0.8329 0.6670 0.6658  6 Te 3.05-3.09
8 Ho 0.1671 0.3330 0.3342  6 Te 3.05-3.09
9 Y 0.8285 0.1634 0.6570  6 Te 3.07-3.12
10 Y 0.1715 0.8366 0.3430  6 Te 3.07-3.12
11 Y 0.5000 0.5000 0.0000  6 Te 3.06-3.12
12 Sc 0.5000 0.0000 0.0000  6 Te 2.95-3.00

Properties
E_form (uncorrected) ... -1.251 eV per atom